# 1
VASP calculation (PBE) on a geometry-optimized AcEr12Sc7 structure.

Calculated values
ΔH_f (0 K)   0.1834 eV/atom
Total magnetization   2.86 μB per formula unit
D(E_F)   1.854 states/eV/atom

Geometry as POSCAR:
```
AcEr12Sc7
1.0
-1.173 -2.009 8.754
6.413 -5.426 -3.388
2.818 8.583 -0.655
Sc Er Ac
7 12 1
direct
0.981 0.883 0.312 Sc
0.117 0.688 0.019 Sc
0.883 0.312 0.981 Sc
0.019 0.117 0.688 Sc
0.500 0.500 0.500 Sc
0.688 0.019 0.117 Sc
0.312 0.981 0.883 Sc
0.335 0.613 0.816 Er
0.704 0.580 0.912 Er
0.088 0.296 0.420 Er
0.387 0.184 0.665 Er
0.184 0.665 0.387 Er
0.613 0.816 0.335 Er
0.296 0.420 0.088 Er
0.816 0.335 0.613 Er
0.420 0.088 0.296 Er
0.912 0.704 0.580 Er
0.580 0.912 0.704 Er
0.665 0.387 0.184 Er
0.000 0.000 0.000 Ac
```

---

# 2
VASP calculation (PBE) on a geometry-optimized AcErSc structure.

Calculated values
ΔH_f (0 K)   0.1052 eV/atom
Total magnetization   0.00 μB per formula unit
D(E_F)   1.389 states/eV/atom

Geometry as POSCAR:
```
AcErSc
1.0
-3.521 1.900 0.386
-1.705 -3.416 1.258
4.017 2.186 4.961
Er Sc Ac
1 1 1
direct
0.314 0.314 0.629 Er
0.679 0.679 0.359 Sc
0.006 0.006 0.013 Ac
```

---

# 3
VASP calculation (PBE) on a geometry-optimized AcErSc structure.

Calculated values
ΔH_f (0 K)   0.1776 eV/atom
Total magnetization   0.00 μB per formula unit
D(E_F)   1.618 states/eV/atom

Geometry as POSCAR:
```
AcErSc
1.0
-2.300 -2.425 -1.099
3.907 -4.029 0.715
-3.470 1.363 4.256
Sc Er Ac
1 1 1
direct
0.168 0.333 0.667 Sc
0.666 0.667 0.333 Er
0.166 0.000 0.000 Ac
```

---

# 4
VASP calculation (PBE) on a geometry-optimized Ac2ErScSe6 structure.

Calculated values
Energy relative to the elements, uncorrected   -1.9394 eV per atom
Total magnetization   0.00 μB per formula unit
D(E_F)   0.000 states/eV/atom

Geometry as POSCAR:
```
Ac2ErScSe6
1.0
-0.923 0.061 -6.997
0.102 -7.768 -0.082
-10.294 -0.149 1.280
Er Ac Se Sc
2 4 12 2
direct
0.500 0.000 0.500 Er
0.000 0.500 0.000 Er
0.965 0.097 0.749 Ac
0.035 0.903 0.251 Ac
0.535 0.597 0.751 Ac
0.465 0.403 0.249 Ac
0.816 0.816 0.943 Se
0.174 0.193 0.442 Se
0.382 0.971 0.756 Se
0.184 0.184 0.057 Se
0.326 0.693 0.058 Se
0.618 0.029 0.244 Se
0.882 0.529 0.256 Se
0.316 0.684 0.443 Se
0.826 0.807 0.558 Se
0.674 0.307 0.942 Se
0.684 0.316 0.557 Se
0.118 0.471 0.744 Se
0.000 0.500 0.500 Sc
0.500 0.000 0.000 Sc
```

---

# 5
VASP calculation (PBE) on a geometry-optimized AcSmErSc structure.

Calculated values
ΔH_f (0 K)   0.1118 eV/atom
Total magnetization   0.00 μB per formula unit
D(E_F)   1.564 states/eV/atom

Geometry as POSCAR:
```
AcSmErSc
1.0
-0.060 2.030 -5.352
3.497 -2.229 -3.946
-2.138 -3.188 -4.247
Sm Er Sc Ac
1 1 1 1
direct
0.750 0.750 0.750 Sm
0.500 0.500 0.500 Er
0.000 0.000 0.000 Sc
0.250 0.250 0.250 Ac
```

---

# 6
VASP calculation (PBE) on a geometry-optimized AcTbErSc structure.

Calculated values
ΔH_f (0 K)   0.1185 eV/atom
Total magnetization   0.00 μB per formula unit
D(E_F)   1.446 states/eV/atom

Geometry as POSCAR:
```
AcTbErSc
1.0
-1.989 2.989 4.424
-5.617 0.424 0.857
-2.422 -2.692 4.399
Ac Er Tb Sc
1 1 1 1
direct
0.250 0.250 0.250 Ac
0.500 0.500 0.500 Er
0.750 0.750 0.750 Tb
0.000 0.000 0.000 Sc
```